Compound: Ta2NiAgH
Source: Alexandria via LeMat-Bulk
Functional: PBE-GGA
Structure: relaxed

Output
* total energy: -35.2 eV for the cell shown
* calculated density: 13.2 g cm⁻³
* size of the total moment: 0.000 μB/atom
* space-group type: P4/mmm, No. 123
* crystal system: tetragonal

POSCAR file:
```
Ta2NiAgH
1.0
4.075 0.000 0.000
0.000 4.075 0.000
0.000 0.000 4.001
Ta Ni Ag H
2 1 1 1
Cartesian
0.000 2.038 0.000
2.038 0.000 0.000
0.000 0.000 2.001
2.038 2.038 2.001
0.000 0.000 0.000
```